A geometry-optimized MgSb structure, computed with PBE.

POSCAR file:
```
MgSb
1.0
4.4265 0.0000 0.0000
-2.2133 3.8335 0.0000
0.0000 0.0000 6.2361
Sb Mg
2 2
Cartesian
0.0000 2.5557 1.5590
2.2133 1.2778 4.6771
0.0000 0.0000 3.1181
0.0000 0.0000 0.0000
```

Output
V   106 Å³/cell
Magnetization   0.0 μB/cell
Formation energy (no corrections)   -0.17 eV/atom


A geometry-optimized Mg5Sb3 structure, computed with PBE.

POSCAR file:
```
Mg5Sb3
1.0
8.5582 0.0000 0.0000
-4.2791 7.4116 0.0000
0.0000 0.0000 6.4740
Mg Sb
10 6
Cartesian
0.0000 4.9411 3.2370
5.9807 0.0000 4.8555
0.0000 4.9411 0.0000
4.2791 2.4705 3.2370
4.2791 2.4705 0.0000
2.9904 5.1795 1.6185
1.2887 2.2322 4.8555
-1.2887 2.2322 1.6185
-2.9904 5.1795 4.8555
2.5775 0.0000 1.6185
5.5098 0.0000 1.6185
-1.5242 2.6400 4.8555
-2.7549 4.7716 1.6185
2.7549 4.7716 4.8555
3.0484 0.0000 4.8555
1.5242 2.6400 1.6185
```

Output
V   411 Å³/cell
Distance to the lowest polymorph of the same formula   29 meV per atom
Magnetization   0.0 μB/cell
Formation energy (no corrections)   -0.24 eV/atom


A geometry-optimized MgSb structure, computed with PBE.

POSCAR file:
```
MgSb
1.0
-0.5339 7.4197 7.5272
-2.3631 4.9867 9.0302
1.0218 4.9692 9.2876
Sb Mg
2 2
Cartesian
-0.9202 8.5262 12.6822
-0.4862 4.5054 6.7015
-1.4069 13.0360 19.3902
-1.8748 17.3713 25.8386
```

Output
V   104 Å³/cell
Magnetization   0.0 μB/cell
Formation energy (no corrections)   0.04 eV/atom


A geometry-optimized MgSb4 structure, computed with PBE.

POSCAR file:
```
MgSb4
1.0
0.8037 -3.6088 4.9074
-0.9352 5.8455 -1.6452
-5.6826 -1.9439 -1.2967
Sb Mg
4 1
Cartesian
-5.1080 1.2322 -1.0508
-3.2693 -1.3074 0.7646
-0.7061 -0.9394 3.0162
-2.5448 1.6002 1.2008
0.0000 0.0000 0.0000
```

Output
V   134 Å³/cell
Distance to the lowest polymorph of the same formula   0 meV per atom
Magnetization   0.0 μB/cell
Formation energy (no corrections)   0.09 eV/atom


A geometry-optimized MgSb structure, computed with PBE.

POSCAR file:
```
MgSb
1.0
-3.7469 1.1665 -5.2484
0.9273 -6.1611 -2.0314
-5.2959 -1.9041 3.3576
Sb Mg
4 4
Cartesian
-1.4098 -2.4973 -3.6399
0.0000 0.0000 0.0000
-4.5214 -0.3688 -0.9454
-2.1843 -4.0326 0.6631
-3.4387 -4.2220 -4.6204
-2.0289 -1.7247 -0.9805
-6.5503 -2.0935 -1.9259
-4.2132 -5.7573 -0.3174
```

Output
V   281 Å³/cell
Magnetization   0.0 μB/cell
Formation energy (no corrections)   0.08 eV/atom


A geometry-optimized MgSb2 structure, computed with PBE.

POSCAR file:
```
MgSb2
1.0
-0.4299 -5.2360 -1.2340
4.3264 2.8023 -1.5975
1.4906 -0.7597 2.7041
Sb Mg
2 1
Cartesian
3.4887 -0.2582 -0.1199
1.8984 -2.9352 -0.0075
0.0000 0.0000 0.0000
```

Output
V   80 Å³/cell
Magnetization   0.0 μB/cell
Formation energy (no corrections)   0.04 eV/atom


A geometry-optimized MgSb3 structure, computed with PBE.

POSCAR file:
```
MgSb3
1.0
-5.9443 -0.5128 1.9650
-1.7402 -6.0349 0.1040
3.5310 4.6793 2.2573
Sb Mg
3 1
Cartesian
-4.6928 -1.8054 2.5226
-5.4225 -4.4637 1.5498
-2.3835 -1.8743 0.7316
-0.6369 1.0996 1.1143
```

Output
V   108 Å³/cell
Distance to the lowest polymorph of the same formula   60 meV per atom
Magnetization   0.0 μB/cell
Formation energy (no corrections)   -0.01 eV/atom


A geometry-optimized Mg4Sb3 structure, computed with PBE.

POSCAR file:
```
Mg4Sb3
1.0
-2.9578 5.4527 -0.9076
-1.9483 -3.9129 4.4942
3.3966 2.4414 3.5981
Mg Sb
4 3
Cartesian
-0.9230 3.5515 2.6920
2.5400 1.8257 2.6907
-0.5865 0.4297 4.4926
0.8566 0.6157 0.9074
-2.4530 0.7699 1.7933
-1.4789 2.7263 -0.4538
-0.9741 -1.9564 2.2471
```

Output
V   188 Å³/cell
Distance to the lowest polymorph of the same formula   340 meV per atom
Magnetization   0.0 μB/cell
Formation energy (no corrections)   0.09 eV/atom


A geometry-optimized MgSb structure, computed with PBE.

POSCAR file:
```
MgSb
1.0
3.9945 0.0000 0.0000
0.0000 4.5171 0.0000
0.0000 0.0000 16.9831
Mg Sb
6 6
Cartesian
0.0000 3.6305 5.5752
0.0000 3.6305 11.4079
1.9973 0.8866 14.0668
0.0000 4.4859 0.0000
1.9973 0.8866 2.9163
1.9973 0.0312 8.4916
1.9973 1.3669 5.8726
0.0000 3.1502 2.6190
1.9973 2.1831 0.0000
0.0000 3.1502 14.3641
0.0000 2.3340 8.4916
1.9973 1.3669 11.1105
```

Output
V   306 Å³/cell
Magnetization   0.0 μB/cell
Formation energy (no corrections)   -0.19 eV/atom


A geometry-optimized MgSb2 structure, computed with PBE.

POSCAR file:
```
MgSb2
1.0
2.9066 8.1092 -1.8983
-4.8756 -6.3303 3.7372
3.6990 -0.3250 4.2752
Sb Mg
4 2
Cartesian
0.2378 1.3604 1.7727
-0.8621 -4.2747 6.0462
2.5921 5.7286 0.0679
1.4921 0.0935 4.3414
4.1684 5.0591 2.4034
-2.4384 -3.6052 3.7107
```

Output
V   159 Å³/cell
Magnetization   0.0 μB/cell
Formation energy (no corrections)   -0.04 eV/atom


A geometry-optimized MgSb2 structure, computed with PBE.

POSCAR file:
```
MgSb2
1.0
4.1716 0.0000 0.0000
-2.0858 3.6127 0.0000
0.0000 0.0000 5.6079
Mg Sb
1 2
Cartesian
0.0000 0.0000 0.0000
2.0858 1.2042 3.7226
0.0000 2.4084 1.8853
```

Output
V   85 Å³/cell
Magnetization   0.0 μB/cell
Formation energy (no corrections)   -0.02 eV/atom


A geometry-optimized MgSb2 structure, computed with PBE.

POSCAR file:
```
MgSb2
1.0
-3.3434 8.2350 3.2164
0.6992 -9.4193 -0.3553
3.1309 0.1214 2.9437
Sb Mg
4 2
Cartesian
-0.4250 -4.5097 0.6380
0.6865 -9.3641 -0.3441
-1.8700 1.8007 1.9147
0.4760 -1.5477 2.6968
-1.0466 5.1017 4.0421
1.6378 -6.6212 1.6704
```

Output
V   162 Å³/cell
Magnetization   0.0 μB/cell
Formation energy (no corrections)   -0.03 eV/atom


A geometry-optimized MgSb3 structure, computed with PBE.

POSCAR file:
```
MgSb3
1.0
-6.1364 -0.7107 0.3722
1.0353 -3.6472 4.8913
-0.3387 4.8587 3.6946
Sb Mg
6 2
Cartesian
-5.2588 -1.3573 3.8316
-0.1809 1.8580 5.1264
0.8532 -2.3927 5.7535
-2.5028 -0.1257 7.5223
-2.9369 0.6264 1.4358
-6.2929 2.8934 3.2046
-3.3590 1.6921 5.0533
-2.0807 -1.1914 3.9048
```

Output
V   234 Å³/cell
Distance to the lowest polymorph of the same formula   84 meV per atom
Magnetization   0.0 μB/cell
Formation energy (no corrections)   0.01 eV/atom


A geometry-optimized Mg7Sb structure, computed with PBE.

POSCAR file:
```
Mg7Sb
1.0
3.2410 -5.6135 0.0000
3.2410 5.6135 0.0000
0.0000 0.0000 5.0782
Mg Sb
7 1
Cartesian
3.2410 3.6740 0.0000
3.2410 -0.0157 2.5391
1.6797 0.9698 0.0000
1.6340 -2.7989 2.5391
4.8022 0.9698 0.0000
3.2410 -1.8712 0.0000
4.8479 -2.7989 2.5391
0.0000 0.0000 2.5391
```

Output
V   185 Å³/cell
Distance to the lowest polymorph of the same formula   16 meV per atom
Magnetization   0.0 μB/cell
Formation energy (no corrections)   -0.06 eV/atom


A geometry-optimized MgSb2 structure, computed with PBE.

POSCAR file:
```
MgSb2
1.0
-2.9509 3.2964 -0.9462
-1.0418 -2.1961 -4.4019
-5.6523 -4.0901 3.3783
Sb Mg
4 2
Cartesian
-7.6113 -2.2565 0.0551
-2.0337 -0.7333 -2.0249
-4.2287 -1.8035 1.9006
-4.3745 1.0098 0.5315
0.0000 0.0000 0.0000
-4.8225 -1.4949 -0.9849
```

Output
V   176 Å³/cell
Magnetization   0.0 μB/cell
Formation energy (no corrections)   -0.06 eV/atom


A geometry-optimized MgSb3 structure, computed with PBE.

POSCAR file:
```
MgSb3
1.0
3.2087 0.0037 0.0000
-0.5442 3.1622 0.0000
0.0000 0.0000 10.3387
Sb Mg
3 1
Cartesian
0.0000 0.0000 5.1693
1.3322 1.5830 2.2735
1.3322 1.5830 8.0652
0.0000 0.0000 0.0000
```

Output
V   105 Å³/cell
Distance to the lowest polymorph of the same formula   152 meV per atom
Magnetization   0.0 μB/cell
Formation energy (no corrections)   0.08 eV/atom


A geometry-optimized MgSb structure, computed with PBE.

POSCAR file:
```
MgSb
1.0
-2.3621 -3.9850 -1.6831
4.5985 -0.4069 1.7263
-2.1967 -1.0635 5.6008
Sb Mg
2 2
Cartesian
-0.5911 -3.0582 0.8536
0.6308 -2.3972 4.7905
1.7291 -1.8655 1.9900
-1.6894 -3.5899 3.6540
```

Output
V   129 Å³/cell
Magnetization   0.0 μB/cell
Formation energy (no corrections)   -0.05 eV/atom


A geometry-optimized MgSb structure, computed with PBE.

POSCAR file:
```
MgSb
1.0
5.2262 0.0000 0.0000
2.6131 4.5261 0.0000
2.6131 1.5087 4.2672
Mg Sb
2 2
Cartesian
0.0000 0.0000 0.0000
7.8394 4.5261 3.2004
2.6131 1.5087 1.0668
5.2262 3.0174 2.1336
```

Output
V   101 Å³/cell
Magnetization   0.0 μB/cell
Formation energy (no corrections)   0.06 eV/atom


A geometry-optimized MgSb structure, computed with PBE.

POSCAR file:
```
MgSb
1.0
2.7562 -4.7739 0.0000
2.7562 4.7739 0.0000
0.0000 0.0000 8.4185
Mg Sb
4 4
Cartesian
2.7562 -1.5913 7.6990
2.7562 -1.5913 4.9288
2.7562 1.5913 0.7195
2.7562 1.5913 3.4897
0.0000 0.0000 2.1046
2.7562 -1.5913 2.1046
2.7562 1.5913 6.3139
0.0000 0.0000 6.3139
```

Output
V   222 Å³/cell
Magnetization   0.0 μB/cell
Formation energy (no corrections)   0.11 eV/atom


A geometry-optimized MgSb structure, computed with PBE.

POSCAR file:
```
MgSb
1.0
-7.0318 1.3450 0.5923
-0.7348 -5.7250 4.2768
0.9179 2.9756 4.1409
Sb Mg
4 4
Cartesian
-5.0178 -2.8298 3.1457
-2.7488 -1.5502 1.7233
-1.1957 -3.2045 5.8090
-5.6530 1.8001 3.2009
-1.4520 0.4101 3.2685
-5.4327 -0.4504 1.5279
-5.3967 -1.8145 5.7414
-2.3339 -3.9296 3.3411
```

Output
V   267 Å³/cell
Magnetization   0.0 μB/cell
Formation energy (no corrections)   -0.15 eV/atom